1.
The following is a GGA-PBEsol calculation of a relaxed structure of IrOs2Ru, from the Alexandria database.

ΔE to the lowest computed polymorph, eV per atom: 0.566
Energy relative to the elements, meV per atom: 622
E_tot, eV per formula unit: -41.94
Magnetic moment, μB/f.u.: 1.3

The structure in CIF format:
```
data_IrOs2Ru
_cell_length_a 3.2641
_cell_length_b 3.2641
_cell_length_c 5.3782
_cell_angle_alpha 90.00
_cell_angle_beta 90.00
_cell_angle_gamma 90.00
_symmetry_space_group_name_H-M 'P 4/m m m'
_symmetry_Int_Tables_number 123
_symmetry_space_group_name_Hall '-P 4 2'
loop_
_atom_site_label
_atom_site_type_symbol
_atom_site_fract_x
_atom_site_fract_y
_atom_site_fract_z
_atom_site_occupancy
Ir1 Ir 0.0000 0.0000 0.0000 1
Os1 Os 0.5000 0.5000 0.2499 1
Ru1 Ru 0.0000 0.0000 0.5000 1
```



2.
The following is a GGA-PBEsol calculation of a relaxed structure of IrOsRu, from the Alexandria database.

ΔE to the lowest computed polymorph, eV per atom: 0.000
Energy relative to the elements, meV per atom: 27
E_tot, eV per formula unit: -32.13
Magnetic moment, μB/f.u.: 0.0

The structure in CIF format:
```
data_IrOsRu
_cell_length_a 2.6876
_cell_length_b 3.8053
_cell_length_c 8.0740
_cell_angle_alpha 90.00
_cell_angle_beta 90.00
_cell_angle_gamma 90.00
_symmetry_space_group_name_H-M 'I m m 2'
_symmetry_Int_Tables_number 44
_symmetry_space_group_name_Hall 'I 2 -2'
loop_
_atom_site_label
_atom_site_type_symbol
_atom_site_fract_x
_atom_site_fract_y
_atom_site_fract_z
_atom_site_occupancy
Ir1 Ir 0.0000 0.0000 0.0000 1
Os1 Os 0.0000 0.0000 0.6679 1
Ru1 Ru 0.0000 0.0000 0.3310 1
```



3.
The following is a GGA-PBEsol calculation of a relaxed structure of IrOsRu, from the Alexandria database.

ΔE to the lowest computed polymorph, eV per atom: 0.003
Energy relative to the elements, meV per atom: 30
E_tot, eV per formula unit: -32.12
Magnetic moment, μB/f.u.: 0.0

The structure in CIF format:
```
data_IrOsRu
_cell_length_a 2.6937
_cell_length_b 2.6937
_cell_length_c 11.4248
_cell_angle_alpha 90.00
_cell_angle_beta 90.00
_cell_angle_gamma 90.00
_symmetry_space_group_name_H-M 'I 4 m m'
_symmetry_Int_Tables_number 107
_symmetry_space_group_name_Hall 'I 4 -2'
loop_
_atom_site_label
_atom_site_type_symbol
_atom_site_fract_x
_atom_site_fract_y
_atom_site_fract_z
_atom_site_occupancy
Ir1 Ir 0.0000 0.0000 0.0000 1
Os1 Os 0.0000 0.0000 0.6684 1
Ru1 Ru 0.0000 0.0000 0.3304 1
```



4.
The following is a GGA-PBEsol calculation of a relaxed structure of IrOs2Ru, from the Alexandria database.

ΔE to the lowest computed polymorph, eV per atom: 0.000
Energy relative to the elements, meV per atom: 56
E_tot, eV per formula unit: -44.20
Magnetic moment, μB/f.u.: 0.0

The structure in CIF format:
```
data_IrOs2Ru
_cell_length_a 2.6913
_cell_length_b 3.8108
_cell_length_c 5.3892
_cell_angle_alpha 90.00
_cell_angle_beta 90.00
_cell_angle_gamma 90.00
_symmetry_space_group_name_H-M 'P m m 2'
_symmetry_Int_Tables_number 25
_symmetry_space_group_name_Hall 'P 2 -2'
loop_
_atom_site_label
_atom_site_type_symbol
_atom_site_fract_x
_atom_site_fract_y
_atom_site_fract_z
_atom_site_occupancy
Ir1 Ir 0.0000 0.0000 0.0000 1
Os1 Os 0.0000 0.0000 0.5019 1
Os2 Os 0.5000 0.5000 0.2543 1
Ru1 Ru 0.5000 0.5000 0.7479 1
```



5.
The following is a GGA-PBEsol calculation of a relaxed structure of IrOs2Ru, from the Alexandria database.

ΔE to the lowest computed polymorph, eV per atom: 0.005
Energy relative to the elements, meV per atom: 61
E_tot, eV per formula unit: -44.18
Magnetic moment, μB/f.u.: 0.0

The structure in CIF format:
```
data_IrOs2Ru
_cell_length_a 3.8178
_cell_length_b 3.8178
_cell_length_c 7.5838
_cell_angle_alpha 90.00
_cell_angle_beta 90.00
_cell_angle_gamma 90.00
_symmetry_space_group_name_H-M 'I -4 m 2'
_symmetry_Int_Tables_number 119
_symmetry_space_group_name_Hall 'I -4 -2'
loop_
_atom_site_label
_atom_site_type_symbol
_atom_site_fract_x
_atom_site_fract_y
_atom_site_fract_z
_atom_site_occupancy
Ir1 Ir 0.0000 0.0000 0.0000 1
Os1 Os 0.0000 0.0000 0.5000 1
Os2 Os 0.0000 0.5000 0.2500 1
Ru1 Ru 0.0000 0.5000 0.7500 1
```



6.
The following is a GGA-PBEsol calculation of a relaxed structure of SbIr3Os, from the Alexandria database.

Formation energy from raw total energies, kcal/mol of atoms: 60.98
E_tot, eV per formula unit: -33.02
Magnetic moment, μB/f.u.: 3.6

The structure in CIF format:
```
data_SbIr3Os
_cell_length_a 4.7085
_cell_length_b 4.7085
_cell_length_c 4.7085
_cell_angle_alpha 90.00
_cell_angle_beta 90.00
_cell_angle_gamma 90.00
_symmetry_space_group_name_H-M 'P m -3 m'
_symmetry_Int_Tables_number 221
_symmetry_space_group_name_Hall '-P 4 2 3'
loop_
_atom_site_label
_atom_site_type_symbol
_atom_site_fract_x
_atom_site_fract_y
_atom_site_fract_z
_atom_site_occupancy
Sb1 Sb 0.0000 0.0000 0.0000 1
Ir1 Ir 0.0000 0.0000 0.5000 1
Os1 Os 0.5000 0.5000 0.5000 1
```



7.
The following is a GGA-PBEsol calculation of a relaxed structure of SbIr2Os, from the Alexandria database.

Formation energy from raw total energies, kcal/mol of atoms: 14.10
E_tot, eV per formula unit: -33.97
Magnetic moment, μB/f.u.: 0.0

The structure in CIF format:
```
data_SbIr2Os
_cell_length_a 6.3056
_cell_length_b 6.3056
_cell_length_c 6.3056
_cell_angle_alpha 90.00
_cell_angle_beta 90.00
_cell_angle_gamma 90.00
_symmetry_space_group_name_H-M 'F -4 3 m'
_symmetry_Int_Tables_number 216
_symmetry_space_group_name_Hall 'F -4 2 3'
loop_
_atom_site_label
_atom_site_type_symbol
_atom_site_fract_x
_atom_site_fract_y
_atom_site_fract_z
_atom_site_occupancy
Sb1 Sb 0.0000 0.0000 0.0000 1
Ir1 Ir 0.0000 0.0000 0.5000 1
Ir2 Ir 0.2500 0.2500 0.2500 1
Os1 Os 0.2500 0.2500 0.7500 1
```



8.
The following is a GGA-PBEsol calculation of a relaxed structure of SbIrOs, from the Alexandria database.

Formation energy from raw total energies, kcal/mol of atoms: 20.22
E_tot, eV per formula unit: -23.97
Magnetic moment, μB/f.u.: 0.0

The structure in CIF format:
```
data_SbIrOs
_cell_length_a 2.8291
_cell_length_b 5.0201
_cell_length_c 14.3179
_cell_angle_alpha 90.00
_cell_angle_beta 90.00
_cell_angle_gamma 90.00
_symmetry_space_group_name_H-M 'F m m 2'
_symmetry_Int_Tables_number 42
_symmetry_space_group_name_Hall 'F 2 -2'
loop_
_atom_site_label
_atom_site_type_symbol
_atom_site_fract_x
_atom_site_fract_y
_atom_site_fract_z
_atom_site_occupancy
Sb1 Sb 0.0000 0.0000 0.0000 1
Ir1 Ir 0.0000 0.0000 0.6760 1
Os1 Os 0.0000 0.0000 0.3271 1
```



9.
The following is a GGA-PBEsol calculation of a relaxed structure of SbIrOs4, from the Alexandria database.

Formation energy from raw total energies, kcal/mol of atoms: 25.00
E_tot, eV per formula unit: -56.74
Magnetic moment, μB/f.u.: 0.0

The structure in CIF format:
```
data_SbIrOs4
_cell_length_a 7.2878
_cell_length_b 7.2878
_cell_length_c 7.2878
_cell_angle_alpha 90.00
_cell_angle_beta 90.00
_cell_angle_gamma 90.00
_symmetry_space_group_name_H-M 'F -4 3 m'
_symmetry_Int_Tables_number 216
_symmetry_space_group_name_Hall 'F -4 2 3'
loop_
_atom_site_label
_atom_site_type_symbol
_atom_site_fract_x
_atom_site_fract_y
_atom_site_fract_z
_atom_site_occupancy
Sb1 Sb 0.0000 0.0000 0.0000 1
Ir1 Ir 0.2500 0.2500 0.2500 1
Os1 Os 0.1237 0.1237 0.6237 1
```



10.
The following is a GGA-PBEsol calculation of a relaxed structure of TiSbIrOs2, from the Alexandria database.

Formation energy from raw total energies, kcal/mol of atoms: 41.64
E_tot, eV per formula unit: -38.11
Magnetic moment, μB/f.u.: 0.3

The structure in CIF format:
```
data_TiSbIrOs2
_cell_length_a 4.6694
_cell_length_b 4.6694
_cell_length_c 4.9265
_cell_angle_alpha 90.00
_cell_angle_beta 90.00
_cell_angle_gamma 90.00
_symmetry_space_group_name_H-M 'P 4/m m m'
_symmetry_Int_Tables_number 123
_symmetry_space_group_name_Hall '-P 4 2'
loop_
_atom_site_label
_atom_site_type_symbol
_atom_site_fract_x
_atom_site_fract_y
_atom_site_fract_z
_atom_site_occupancy
Ti1 Ti 0.0000 0.0000 0.0000 1
Sb1 Sb 0.5000 0.5000 0.0000 1
Ir1 Ir 0.5000 0.5000 0.5000 1
Os1 Os 0.0000 0.5000 0.5000 1
```



Among the records above, which one has the highest magnetic moment?
SbIr3Os



Among the records above, which one has the highest magnetic moment?
SbIr3Os